Compound: TlNi2Ru
Source: Alexandria via LeMat-Bulk
Functional: SCAN
Structure: single point on PBEsol structure

* ΔE to the lowest computed polymorph: 10.1 meV per atom
* total magnetic moment: 2.5 μB/f.u.
* energy of formation from the pure elements: 0.442 eV/atom

```
TlNi2Ru
1.0
3.834 0.000 0.000
0.000 3.834 0.000
-1.917 -1.917 3.770
Ni Tl Ru
2 1 1
Direct
0.000 0.000 0.000 Ni
0.750 0.250 0.500 Ni
0.250 0.750 0.500 Tl
0.500 0.500 0.000 Ru
```

=====

Compound: TlNiRu
Source: Alexandria via LeMat-Bulk
Functional: SCAN
Structure: single point on PBEsol structure

* ΔE to the lowest computed polymorph: 3.5 meV per atom
* total magnetic moment: 0.7 μB/f.u.
* energy of formation from the pure elements: 0.662 eV/atom

```
TlNiRu
1.0
-1.137 2.322 1.326
-1.740 -1.912 -1.327
-0.473 -3.307 5.388
Tl Ni Ru
1 1 1
Direct
0.667 0.333 0.325 Tl
0.000 0.000 0.982 Ni
0.333 0.667 0.693 Ru
```

=====

Compound: TlNiRu
Source: Alexandria via LeMat-Bulk
Functional: SCAN
Structure: single point on PBEsol structure

* ΔE to the lowest computed polymorph: 0.0 meV per atom
* total magnetic moment: 1.2 μB/f.u.
* energy of formation from the pure elements: 0.658 eV/atom

```
TlNiRu
1.0
3.040 0.000 0.000
0.000 4.196 0.000
0.000 -2.098 3.634
Ni Tl Ru
1 1 1
Direct
0.834 0.000 0.000 Ni
0.333 0.667 0.333 Tl
0.833 0.333 0.667 Ru
```

=====

Compound: TlNiRu2
Source: Alexandria via LeMat-Bulk
Functional: SCAN
Structure: single point on PBEsol structure

* ΔE to the lowest computed polymorph: 47.2 meV per atom
* total magnetic moment: 0.0 μB/f.u.
* energy of formation from the pure elements: 0.537 eV/atom

```
TlNiRu2
1.0
2.979 0.000 0.000
0.000 2.979 0.000
0.000 0.000 6.593
Ru Tl Ni
2 1 1
Direct
0.000 0.000 0.298 Ru
0.000 0.000 0.702 Ru
0.500 0.500 0.000 Tl
0.500 0.500 0.500 Ni
```

=====

Compound: TlNiRu3
Source: Alexandria via LeMat-Bulk
Functional: SCAN
Structure: single point on PBEsol structure

* total magnetic moment: 6.8 μB/f.u.
* energy of formation from the pure elements: 2.734 eV/atom

```
TlNiRu3
1.0
4.864 0.000 0.000
0.000 4.864 0.000
0.000 0.000 4.864
Ru Ni Tl
3 1 1
Direct
0.000 0.500 0.000 Ru
0.000 0.000 0.500 Ru
0.500 0.000 0.000 Ru
0.500 0.500 0.500 Ni
0.000 0.000 0.000 Tl
```

=====

Compound: NiRu2W
Source: Alexandria via LeMat-Bulk
Functional: SCAN
Structure: single point on PBEsol structure

* total magnetic moment: 0.0 μB/f.u.
* energy of formation from the pure elements: 0.034 eV/atom

```
NiRu2W
1.0
-0.420 0.741 3.621
-3.513 -1.213 -0.159
3.146 -3.293 -0.872
W Ru Ni
1 2 1
Direct
0.000 0.000 0.000 W
0.750 0.250 0.500 Ru
0.500 0.500 0.000 Ru
0.250 0.750 0.500 Ni
```

=====

Compound: NiRuW2
Source: Alexandria via LeMat-Bulk
Functional: SCAN
Structure: single point on PBEsol structure

* total magnetic moment: 0.0 μB/f.u.
* energy of formation from the pure elements: 0.007 eV/atom

```
NiRuW2
1.0
-1.277 1.008 3.435
-0.750 -3.642 0.790
3.505 -0.412 1.424
W Ni Ru
2 1 1
Direct
0.000 0.500 0.000 W
0.500 0.000 0.000 W
0.500 0.500 0.500 Ni
0.000 0.000 0.500 Ru
```

=====

Compound: Ni2RuW
Source: Alexandria via LeMat-Bulk
Functional: SCAN
Structure: single point on PBEsol structure

* total magnetic moment: 0.0 μB/f.u.
* energy of formation from the pure elements: 0.038 eV/atom

```
Ni2RuW
1.0
2.671 0.000 0.000
0.000 4.153 0.000
0.000 0.000 4.469
Ru Ni W
1 2 1
Direct
0.500 0.000 0.546 Ru
0.000 0.500 0.717 Ni
0.000 0.000 0.029 Ni
0.500 0.500 0.208 W
```

=====

Compound: NiRuW2
Source: Alexandria via LeMat-Bulk
Functional: SCAN
Structure: single point on PBEsol structure

* total magnetic moment: 0.0 μB/f.u.
* energy of formation from the pure elements: 0.012 eV/atom

```
NiRuW2
1.0
3.807 0.000 0.000
0.000 3.807 0.000
-1.904 -1.904 3.798
Ru W Ni
1 2 1
Direct
0.000 0.000 0.000 Ru
0.250 0.750 0.500 W
0.750 0.250 0.500 W
0.500 0.500 0.000 Ni
```

=====

Compound: NiRuW2
Source: Alexandria via LeMat-Bulk
Functional: SCAN
Structure: single point on PBEsol structure

* total magnetic moment: 0.0 μB/f.u.
* energy of formation from the pure elements: 0.215 eV/atom

```
NiRuW2
1.0
4.291 0.000 0.000
2.146 3.716 0.000
2.146 1.239 3.504
W Ni Ru
2 1 1
Direct
0.250 0.250 0.250 W
0.000 0.000 0.000 W
0.500 0.500 0.500 Ni
0.750 0.750 0.750 Ru
```

=====

Compound: Ni4RuW
Source: Alexandria via LeMat-Bulk
Functional: SCAN
Structure: single point on PBEsol structure

* total magnetic moment: 2.0 μB/f.u.
* energy of formation from the pure elements: -0.002 eV/atom

```
Ni4RuW
1.0
-2.576 2.540 2.847
-4.573 -0.525 0.052
-2.050 -1.967 3.622
Ni W Ru
4 1 1
Direct
0.874 0.375 0.375 Ni
0.375 0.375 0.375 Ni
0.375 0.375 0.874 Ni
0.375 0.874 0.375 Ni
0.000 0.000 0.000 W
0.750 0.750 0.750 Ru
```

=====

Compound: NiRu2W
Source: Alexandria via LeMat-Bulk
Functional: SCAN
Structure: single point on PBEsol structure

* total magnetic moment: 0.0 μB/f.u.
* energy of formation from the pure elements: -0.040 eV/atom

```
NiRu2W
1.0
-1.940 0.408 3.066
-2.664 -2.326 -1.377
1.800 -2.969 1.534
Ni Ru W
1 2 1
Direct
0.500 0.000 0.000 Ni
0.000 0.000 0.500 Ru
0.000 0.500 0.000 Ru
0.500 0.500 0.500 W
```

=====

Compound: Ni2RuW
Source: Alexandria via LeMat-Bulk
Functional: SCAN
Structure: single point on PBEsol structure

* total magnetic moment: 0.0 μB/f.u.
* energy of formation from the pure elements: 0.098 eV/atom

```
Ni2RuW
1.0
2.618 0.000 0.000
-1.309 4.294 0.006
0.000 -0.749 4.448
W Ru Ni
1 1 2
Direct
0.746 0.491 0.244 W
0.507 0.014 0.510 Ru
0.250 0.501 0.758 Ni
0.997 0.994 0.989 Ni
```

=====

Compound: NiRuW
Source: Alexandria via LeMat-Bulk
Functional: SCAN
Structure: single point on PBEsol structure

* total magnetic moment: 0.4 μB/f.u.
* energy of formation from the pure elements: 0.050 eV/atom

```
NiRuW
1.0
2.675 0.000 0.000
0.000 3.736 0.000
-1.338 -1.868 3.967
Ru W Ni
1 1 1
Direct
0.663 0.663 0.325 Ru
0.335 0.335 0.670 W
0.002 0.002 0.004 Ni
```

=====

Compound: Ni2RuW
Source: Alexandria via LeMat-Bulk
Functional: SCAN
Structure: single point on PBEsol structure

* total magnetic moment: 0.0 μB/f.u.
* energy of formation from the pure elements: -0.033 eV/atom

```
Ni2RuW
1.0
-1.599 1.212 -3.085
-3.180 0.404 1.807
3.321 2.635 1.508
Ni Ru W
2 1 1
Direct
0.750 0.250 0.500 Ni
0.500 0.500 0.000 Ni
0.000 0.000 0.000 Ru
0.250 0.750 0.500 W
```

=====

Compound: Ni2RuW
Source: Alexandria via LeMat-Bulk
Functional: SCAN
Structure: single point on PBEsol structure

* total magnetic moment: 0.0 μB/f.u.
* energy of formation from the pure elements: 0.019 eV/atom

```
Ni2RuW
1.0
3.631 0.000 0.000
0.000 3.631 0.000
-1.815 -1.815 3.753
Ru Ni W
1 2 1
Direct
0.000 0.000 0.000 Ru
0.750 0.250 0.500 Ni
0.250 0.750 0.500 Ni
0.500 0.500 0.000 W
```

=====

Compound: Ni2RuW
Source: Alexandria via LeMat-Bulk
Functional: SCAN
Structure: single point on PBEsol structure

* total magnetic moment: 0.0 μB/f.u.
* energy of formation from the pure elements: 0.115 eV/atom

```
Ni2RuW
1.0
2.637 0.000 0.000
0.000 4.490 0.008
0.000 -1.597 4.196
Ni Ru W
2 1 1
Direct
0.000 0.000 0.500 Ni
0.000 0.500 0.000 Ni
0.500 0.500 0.500 Ru
0.500 0.000 0.000 W
```

=====

Compound: NiRuW2
Source: Alexandria via LeMat-Bulk
Functional: SCAN
Structure: single point on PBEsol structure

* total magnetic moment: 0.0 μB/f.u.
* energy of formation from the pure elements: 0.064 eV/atom

```
NiRuW2
1.0
-0.341 1.745 -2.075
-3.012 -1.960 -1.153
-3.159 3.044 3.077
W Ru Ni
2 1 1
Direct
0.000 0.000 0.752 W
0.000 0.000 0.248 W
0.500 0.500 0.500 Ru
0.500 0.500 0.000 Ni
```

=====

Compound: NiRu2W
Source: Alexandria via LeMat-Bulk
Functional: SCAN
Structure: single point on PBEsol structure

* total magnetic moment: 0.0 μB/f.u.
* energy of formation from the pure elements: 0.037 eV/atom

```
NiRu2W
1.0
-0.101 2.079 3.208
-3.811 0.197 -0.247
1.672 -4.176 0.480
Ru W Ni
2 1 1
Direct
0.250 0.750 0.500 Ru
0.750 0.250 0.500 Ru
0.000 0.000 0.000 W
0.500 0.500 0.000 Ni
```

=====

Compound: Ni2RuW
Source: Alexandria via LeMat-Bulk
Functional: SCAN
Structure: single point on PBEsol structure

* total magnetic moment: 0.0 μB/f.u.
* energy of formation from the pure elements: -0.010 eV/atom

```
Ni2RuW
1.0
-3.181 -0.783 1.553
1.735 -1.206 2.946
-0.124 3.454 1.487
Ru Ni W
1 2 1
Direct
0.500 0.500 0.500 Ru
0.000 0.500 0.000 Ni
0.500 0.000 0.000 Ni
0.000 0.000 0.500 W
```

=====

Compound: YNiRu2
Source: Alexandria via LeMat-Bulk
Functional: SCAN
Structure: single point on PBEsol structure

* ΔE to the lowest computed polymorph: 0.0 meV per atom
* total magnetic moment: 0.0 μB/f.u.
* energy of formation from the pure elements: 0.099 eV/atom

```
YNiRu2
1.0
-1.951 -2.314 -0.567
-0.442 -0.369 3.025
-5.021 4.284 -0.210
Y Ni Ru
1 1 2
Direct
0.000 0.000 0.511 Y
0.500 0.500 0.800 Ni
0.500 0.500 0.200 Ru
0.000 0.000 0.988 Ru
```

=====

Compound: YNiRu2
Source: Alexandria via LeMat-Bulk
Functional: SCAN
Structure: single point on PBEsol structure

* ΔE to the lowest computed polymorph: 61.1 meV per atom
* total magnetic moment: 1.9 μB/f.u.
* energy of formation from the pure elements: 0.160 eV/atom

```
YNiRu2
1.0
3.133 0.000 0.000
0.000 3.132 0.000
0.000 0.000 6.317
Ru Y Ni
2 1 1
Direct
0.000 0.000 0.698 Ru
0.000 0.000 0.302 Ru
0.500 0.500 0.000 Y
0.500 0.500 0.500 Ni
```

=====

Compound: YNiRu2
Source: Alexandria via LeMat-Bulk
Functional: SCAN
Structure: single point on PBEsol structure

* ΔE to the lowest computed polymorph: 443.4 meV per atom
* total magnetic moment: 0.0 μB/f.u.
* energy of formation from the pure elements: 0.542 eV/atom

```
YNiRu2
1.0
-2.695 0.151 -0.678
-1.198 -2.077 -1.414
-3.475 -4.671 7.066
Y Ru Ni
1 2 1
Direct
0.503 0.503 0.490 Y
0.740 0.740 0.779 Ru
0.999 0.999 0.003 Ru
0.258 0.258 0.227 Ni
```

=====

Compound: ZnNiRu3
Source: Alexandria via LeMat-Bulk
Functional: SCAN
Structure: single point on PBEsol structure

* total magnetic moment: 6.6 μB/f.u.
* energy of formation from the pure elements: 1.909 eV/atom

```
ZnNiRu3
1.0
4.377 0.000 0.000
0.000 4.377 0.000
0.000 0.000 4.377
Ni Ru Zn
1 3 1
Direct
0.500 0.500 0.500 Ni
0.000 0.500 0.000 Ru
0.000 0.000 0.500 Ru
0.500 0.000 0.000 Ru
0.000 0.000 0.000 Zn
```

=====

Compound: ZnNi6Ru
Source: Alexandria via LeMat-Bulk
Functional: SCAN
Structure: single point on PBEsol structure

* total magnetic moment: 5.6 μB/f.u.
* energy of formation from the pure elements: -0.014 eV/atom

```
ZnNi6Ru
1.0
-4.495 -2.110 -3.575
5.179 -3.009 -1.252
-2.296 -6.831 6.919
Ni Zn Ru
24 4 4
Direct
0.876 0.626 0.625 Ni
0.626 0.875 0.875 Ni
0.374 0.124 0.375 Ni
0.374 0.125 0.125 Ni
0.875 0.626 0.125 Ni
0.626 0.875 0.125 Ni
0.249 0.751 0.251 Ni
0.125 0.374 0.875 Ni
0.124 0.374 0.625 Ni
0.876 0.626 0.375 Ni
0.875 0.626 0.875 Ni
0.626 0.876 0.625 Ni
0.374 0.125 0.875 Ni
0.500 0.500 0.000 Ni
0.751 0.249 0.749 Ni
0.125 0.374 0.125 Ni
0.751 0.249 0.251 Ni
0.374 0.124 0.625 Ni
0.626 0.876 0.375 Ni
0.500 0.500 0.500 Ni
0.249 0.751 0.749 Ni
0.000 0.000 0.000 Ni
0.124 0.374 0.375 Ni
0.000 0.000 0.500 Ni
0.750 0.250 0.000 Zn
0.250 0.750 0.000 Zn
0.500 0.500 0.248 Zn
0.500 0.500 0.752 Zn
0.000 0.000 0.754 Ru
0.250 0.750 0.500 Ru
0.750 0.250 0.500 Ru
0.000 0.000 0.246 Ru
```

=====

Compound: ZnNiRu2
Source: Alexandria via LeMat-Bulk
Functional: SCAN
Structure: single point on PBEsol structure

* total magnetic moment: 0.0 μB/f.u.
* energy of formation from the pure elements: 0.258 eV/atom

```
ZnNiRu2
1.0
2.594 0.000 -0.133
0.000 4.230 0.000
-0.642 0.000 4.724
Ru Ni Zn
2 1 1
Direct
0.185 0.000 0.262 Ru
0.815 0.000 0.738 Ru
0.000 0.500 0.500 Ni
0.500 0.500 0.000 Zn
```

=====

Compound: ZnNi2Ru
Source: Alexandria via LeMat-Bulk
Functional: SCAN
Structure: single point on PBEsol structure

* total magnetic moment: 0.0 μB/f.u.
* energy of formation from the pure elements: 0.027 eV/atom

```
ZnNi2Ru
1.0
-2.516 -0.369 -0.081
0.169 -0.361 -3.593
0.721 -5.037 0.540
Zn Ru Ni
1 1 2
Direct
0.500 0.500 0.500 Zn
0.500 0.500 0.000 Ru
0.000 0.000 0.755 Ni
0.000 0.000 0.245 Ni
```

=====

Compound: ZnNiRu2
Source: Alexandria via LeMat-Bulk
Functional: SCAN
Structure: single point on PBEsol structure

* total magnetic moment: 1.0 μB/f.u.
* energy of formation from the pure elements: 0.071 eV/atom

```
ZnNiRu2
1.0
-0.892 3.395 -1.130
-2.736 -1.397 -2.039
-0.491 -0.654 4.440
Ni Zn Ru
1 1 2
Direct
0.250 0.750 0.500 Ni
0.500 0.500 0.000 Zn
0.750 0.250 0.500 Ru
0.000 0.000 0.000 Ru
```

=====

Compound: ZnNiRu2
Source: Alexandria via LeMat-Bulk
Functional: SCAN
Structure: single point on PBEsol structure

* total magnetic moment: 0.0 μB/f.u.
* energy of formation from the pure elements: 0.134 eV/atom

```
ZnNiRu2
1.0
2.647 0.000 0.000
-1.324 4.319 0.005
0.000 -0.845 4.432
Ru Zn Ni
2 1 1
Direct
0.243 0.486 0.241 Ru
0.757 0.514 0.759 Ru
0.000 0.000 0.500 Zn
0.500 0.000 0.000 Ni
```